A relaxed structure of CsUMnSe4, computed with PBE-GGA.

Formation energy from raw total energies = -6.83 eV/f.u.
Total magnetic moment = 6.0 μB per formula unit
Energy = -6.01 eV per atom
Symmetry = P2_1/m
Crystal system = monoclinic

a b c (Å): 6.7408 6.7384 9.9670
angles (deg): 90.00 109.09 90.00
Closest atoms and distances in Å follow each position.
Fractional coordinates of all 14 atoms:
1 Cs 0.2483 0.2500 0.0523  8 Se 3.53-3.95
2 Cs 0.7517 0.7500 0.9477  8 Se 3.53-3.95
3 U 0.2301 0.2500 0.5488  6 Se 2.81-2.93
4 U 0.7699 0.7500 0.4512  6 Se 2.81-2.93
5 Mn 0.2289 0.7500 0.3435  4 Se 2.37-2.41
6 Mn 0.7711 0.2500 0.6565  4 Se 2.37-2.41
7 Se 0.0259 0.5127 0.6916  1 Mn 2.41
8 Se 0.0259 0.9873 0.6916  1 Mn 2.41
9 Se 0.4401 0.7500 0.1912  1 Mn 2.40
10 Se 0.4555 0.7500 0.5828  1 Mn 2.37
11 Se 0.5445 0.2500 0.4172  1 Mn 2.37
12 Se 0.5599 0.2500 0.8088  1 Mn 2.40
13 Se 0.9741 0.0127 0.3084  1 Mn 2.41
14 Se 0.9741 0.4873 0.3084  1 Mn 2.41